Entry 1:
A plane-wave DFT calculation with GGA-PBEsol was carried out for an optimized crystal structure of Co2BiSe.

Lattice parameters (Å, degrees): 4.4725 4.4725 4.4725 60.00 60.00 60.00
Last column: nearest neighbours and their distance in Å.
Element x y z (fractional)
Co 0.2500 0.2500 0.2500  4 Bi 2.74, 4 Se 2.74
Co 0.7500 0.7500 0.7500  4 Se 2.74, 4 Bi 2.74
Bi 0.5000 0.5000 0.5000  8 Co 2.74
Se 0.0000 0.0000 0.0000  8 Co 2.74

- Spin magnetization: 1.98 μB per cell
- Energy relative to the elements, uncorrected: 0.415 eV/atom

---

Entry 2:
A plane-wave DFT calculation with GGA-PBEsol was carried out for an optimized crystal structure of Sr2CoBi.

Lattice parameters (Å, degrees): 4.8652 8.0945 8.0945 84.82 72.51 72.51
Last column: nearest neighbours and their distance in Å.
Element x y z (fractional)
Sr 0.2985 0.8265 0.3265  2 Co 2.92
Sr 0.4515 0.1735 0.6735  2 Co 2.92
Sr 0.3750 0.3265 0.1735  2 Co 2.92
Sr 0.8750 0.6735 0.8265  2 Co 2.92
Co 0.2500 0.5000 0.5000  2 Bi 2.43
Co 0.5000 0.0000 0.0000  2 Bi 2.43
Bi 0.7500 0.5000 0.5000  2 Co 2.43
Bi 0.0000 0.0000 0.0000  2 Co 2.43

- Spin magnetization: 0.35 μB per cell
- Formation energy from the elements: -0.0178 eV/atom

---

Entry 3:
A plane-wave DFT calculation with GGA-PBEsol was carried out for an optimized crystal structure of Tb5CoBi2.

Lattice parameters (Å, degrees): 7.8941 8.7611 12.2497 90.00 90.00 90.00
Last column: nearest neighbours and their distance in Å.
Element x y z (fractional)
Tb 0.1491 0.2500 0.8016  1 Co 2.63
Tb 0.8509 0.7500 0.1984  1 Co 2.63
Tb 0.6491 0.7500 0.6984  1 Co 2.63
Tb 0.3509 0.2500 0.3016  1 Co 2.63
Tb 0.6150 0.2500 0.6907  1 Co 2.65
Tb 0.3850 0.7500 0.3093  1 Co 2.65
Tb 0.1150 0.7500 0.8093  1 Co 2.65
Tb 0.8850 0.2500 0.1907  1 Co 2.65
Tb 0.0485 0.2500 0.5025  1 Co 3.03, 4 Bi 3.14, 2 Tb 3.39
Tb 0.9515 0.7500 0.4975  1 Co 3.03, 4 Bi 3.14, 2 Tb 3.39
Tb 0.5485 0.7500 0.9975  1 Co 3.03, 4 Bi 3.14, 2 Tb 3.39
Tb 0.4515 0.2500 0.0025  1 Co 3.03, 4 Bi 3.14, 2 Tb 3.39
Tb 0.3220 0.9631 0.5621  2 Co 2.74-2.83
Tb 0.6780 0.0369 0.4379  2 Co 2.74-2.83
Tb 0.8220 0.0369 0.9379  2 Co 2.74-2.83
Tb 0.6780 0.4631 0.4379  2 Co 2.74-2.83
Tb 0.1780 0.9631 0.0621  2 Co 2.74-2.83
Tb 0.3220 0.5369 0.5621  2 Co 2.74-2.83
Tb 0.1780 0.5369 0.0621  2 Co 2.74-2.83
Tb 0.8220 0.4631 0.9379  2 Co 2.74-2.83
Co 0.4322 0.2500 0.5097  6 Tb 2.63-2.83
Co 0.5678 0.7500 0.4903  6 Tb 2.63-2.83
Co 0.9322 0.7500 0.9903  6 Tb 2.63-2.83
Co 0.0678 0.2500 0.0097  6 Tb 2.63-2.83
Bi 0.4249 0.5090 0.8258  9 Tb 3.14-3.50
Bi 0.5751 0.4910 0.1742  9 Tb 3.14-3.50
Bi 0.9249 0.4910 0.6742  9 Tb 3.14-3.50
Bi 0.5751 0.0090 0.1742  9 Tb 3.14-3.50
Bi 0.0751 0.5090 0.3258  9 Tb 3.14-3.50
Bi 0.4249 0.9910 0.8258  9 Tb 3.14-3.50
Bi 0.0751 0.9910 0.3258  9 Tb 3.14-3.50
Bi 0.9249 0.0090 0.6742  9 Tb 3.14-3.50

- Spin magnetization: 0.00 μB per cell
- Formation energy from the elements: -0.5873 eV/atom

---

Entry 4:
A plane-wave DFT calculation with GGA-PBEsol was carried out for an optimized crystal structure of TiCoTcBi2.

Lattice parameters (Å, degrees): 4.2339 4.9407 4.9407 90.00 90.00 90.00
Last column: nearest neighbours and their distance in Å.
Element x y z (fractional)
Ti 0.5000 0.0000 0.0000  2 Co 2.12
Co 0.0000 0.0000 0.0000  2 Ti 2.12
Bi 0.0000 0.0000 0.5000  2 Co 2.47
Bi 0.0000 0.5000 0.0000  2 Co 2.47
Tc 0.5000 0.5000 0.5000  8 Bi 3.25, 4 Ti 3.49

- Spin magnetization: 0.91 μB per cell
- Formation energy from the elements: 0.9330 eV/atom

---

Entry 5:
A plane-wave DFT calculation with GGA-PBEsol was carried out for an optimized crystal structure of Ti2Co2Bi.

Lattice parameters (Å, degrees): 3.4061 3.4061 7.6834 102.81 102.81 90.00
Last column: nearest neighbours and their distance in Å.
Element x y z (fractional)
Co 0.2500 0.7500 0.5000  4 Ti 2.36, 4 Co 2.41
Co 0.7500 0.2500 0.5000  4 Ti 2.36, 4 Co 2.41
Bi 0.0000 0.0000 0.0000  8 Ti 3.14, 4 Bi 3.41
Ti 0.3624 0.3624 0.7247  4 Co 2.36
Ti 0.6377 0.6377 0.2753  4 Co 2.36

- Spin magnetization: 0.00 μB per cell
- Formation energy from the elements: 0.0011 eV/atom

---

Entry 6:
A plane-wave DFT calculation with GGA-PBEsol was carried out for an optimized crystal structure of Ti4CoBi2.

Lattice parameters (Å, degrees): 4.8029 7.7571 7.7571 84.50 71.97 71.97
Last column: nearest neighbours and their distance in Å.
Element x y z (fractional)
Ti 0.8063 0.2744 0.1130  2 Co 2.50
Ti 0.9193 0.8870 0.2744  2 Co 2.50
Ti 0.4193 0.2744 0.8870  2 Co 2.50
Ti 0.5807 0.7256 0.1130  2 Co 2.50
Ti 0.3063 0.1130 0.2744  2 Co 2.50
Ti 0.6937 0.8870 0.7256  2 Co 2.50
Ti 0.1937 0.7256 0.8870  2 Co 2.50
Ti 0.0807 0.1130 0.7256  2 Co 2.50
Co 0.7500 0.0000 0.0000  2 Co 2.40, 8 Ti 2.50
Co 0.2500 0.0000 0.0000  2 Co 2.40, 8 Ti 2.50
Bi 0.3613 0.7774 0.5000  8 Ti 2.88-3.03
Bi 0.1387 0.5000 0.2226  8 Ti 2.88-3.03
Bi 0.8613 0.5000 0.7774  8 Ti 2.88-3.03
Bi 0.6387 0.2226 0.5000  8 Ti 2.88-3.03

- Spin magnetization: 0.00 μB per cell
- Formation energy from the elements: -0.3575 eV/atom

---

Entry 7:
A plane-wave DFT calculation with GGA-PBEsol was carried out for an optimized crystal structure of TiCo2Bi.

Lattice parameters (Å, degrees): 4.0768 4.0768 8.5637 103.77 103.77 90.00
Last column: nearest neighbours and their distance in Å.
Element x y z (fractional)
Co 0.8020 0.3750 0.2500  2 Ti 2.37, 2 Co 2.50, 2 Bi 2.61
Co 0.4480 0.8750 0.2500  2 Ti 2.37, 2 Co 2.50, 2 Bi 2.61
Co 0.6250 0.5520 0.7500  2 Ti 2.37, 2 Co 2.50, 2 Bi 2.61
Co 0.1250 0.1980 0.7500  2 Ti 2.37, 2 Co 2.50, 2 Bi 2.61
Bi 0.2500 0.7500 0.5000  4 Co 2.61, 4 Ti 2.88
Bi 0.0000 0.0000 0.0000  4 Co 2.61, 4 Ti 2.88
Ti 0.7500 0.2500 0.5000  4 Co 2.37
Ti 0.5000 0.5000 0.0000  4 Co 2.37

- Spin magnetization: 2.11 μB per cell
- Formation energy from the elements: 0.4566 eV/atom

---

Entry 8:
A plane-wave DFT calculation with GGA-PBEsol was carried out for an optimized crystal structure of Ti3CoBi.

Lattice parameters (Å, degrees): 4.4989 4.4989 4.4989 90.00 90.00 90.00
Last column: nearest neighbours and their distance in Å.
Element x y z (fractional)
Co 0.0000 0.0000 0.0000  6 Ti 2.25
Bi 0.5000 0.5000 0.5000  12 Ti 3.18
Ti 0.0000 0.5000 0.0000  2 Co 2.25
Ti 0.0000 0.0000 0.5000  2 Co 2.25
Ti 0.5000 0.0000 0.0000  2 Co 2.25

- Spin magnetization: 0.00 μB per cell
- Formation energy from the elements: -0.0471 eV/atom

---

Entry 9:
A plane-wave DFT calculation with GGA-PBEsol was carried out for an optimized crystal structure of TiTlCoBi2.

Lattice parameters (Å, degrees): 5.1343 5.6447 5.6447 90.00 90.00 90.00
Last column: nearest neighbours and their distance in Å.
Element x y z (fractional)
Tl 0.0000 0.0000 0.0000  2 Ti 2.57, 4 Bi 2.82
Co 0.5000 0.5000 0.5000  8 Bi 3.82, 4 Ti 3.99
Bi 0.0000 0.0000 0.5000  2 Tl 2.82
Bi 0.0000 0.5000 0.0000  2 Tl 2.82
Ti 0.5000 0.0000 0.0000  2 Tl 2.57

- Spin magnetization: 3.56 μB per cell
- Formation energy from the elements: 1.6995 eV/atom

---

Entry 10:
A plane-wave DFT calculation with GGA-PBEsol was carried out for an optimized crystal structure of TlCo3Bi.

Lattice parameters (Å, degrees): 4.7855 4.7855 4.7855 90.00 90.00 90.00
Last column: nearest neighbours and their distance in Å.
Element x y z (fractional)
Tl 0.5000 0.5000 0.5000  12 Co 3.38
Co 0.0000 0.5000 0.0000  2 Bi 2.39
Co 0.0000 0.0000 0.5000  2 Bi 2.39
Co 0.5000 0.0000 0.0000  2 Bi 2.39
Bi 0.0000 0.0000 0.0000  6 Co 2.39

- Spin magnetization: 4.89 μB per cell
- Formation energy from the elements: 1.4251 eV/atom

---

Entry 11:
A plane-wave DFT calculation with GGA-PBEsol was carried out for an optimized crystal structure of TlCo2Bi.

Lattice parameters (Å, degrees): 4.5600 4.5600 4.5600 60.00 60.00 60.00
Last column: nearest neighbours and their distance in Å.
Element x y z (fractional)
Tl 0.0000 0.0000 0.0000  8 Co 2.79
Co 0.2500 0.2500 0.2500  4 Tl 2.79, 4 Bi 2.79
Co 0.7500 0.7500 0.7500  4 Tl 2.79, 4 Bi 2.79
Bi 0.5000 0.5000 0.5000  8 Co 2.79

- Spin magnetization: 1.79 μB per cell
- Formation energy from the elements: 0.5564 eV/atom
- ΔE to the lowest computed polymorph: 0.000 eV per atom

---

Entry 12:
A plane-wave DFT calculation with GGA-PBEsol was carried out for an optimized crystal structure of TlCo2Bi.

Lattice parameters (Å, degrees): 5.7691 5.7691 5.7691 106.27 106.27 116.09
Last column: nearest neighbours and their distance in Å.
Element x y z (fractional)
Tl 0.5000 0.5000 0.0000  4 Co 2.59
Tl 0.7500 0.2500 0.5000  4 Co 2.59
Co 0.8811 0.8750 0.5061  2 Bi 2.54, 2 Tl 2.59
Co 0.3689 0.3750 0.4939  2 Bi 2.54, 2 Tl 2.59
Co 0.1250 0.6311 0.0061  2 Bi 2.54, 2 Tl 2.59
Co 0.6250 0.1189 0.9939  2 Bi 2.54, 2 Tl 2.59
Bi 0.0000 0.0000 0.0000  4 Co 2.54
Bi 0.2500 0.7500 0.5000  4 Co 2.54

- Spin magnetization: 0.00 μB per cell
- Formation energy from the elements: 0.8180 eV/atom
- ΔE to the lowest computed polymorph: 0.262 eV per atom